1.
Compound: Ac2PrP3Pd12
Source: Alexandria
Functional: PBE-GGA
Structure: relaxed

Computed properties:
N(E_F): 7.33 states/eV/cell
Energy relative to the elements: -0.47 eV per atom

Unit cell a=7.5701 b=7.5701 c=7.5701 alpha=70.33 beta=70.33 gamma=70.33
Last column: nearest neighbours and their distance in Å.
Positions (direct):
Ac 0.6045 0.6045 0.6045  3 Pd 2.82
Ac 0.3955 0.3955 0.3955  3 Pd 2.82
Pr 0.0000 0.0000 0.0000  6 Pd 2.77
P 0.5000 0.0000 0.0000  6 Pd 2.29-2.36
P 0.0000 0.5000 0.0000  6 Pd 2.29-2.36
P 0.0000 0.0000 0.5000  6 Pd 2.29-2.36
Pd 0.2919 0.2919 0.8704  2 P 2.36
Pd 0.8524 0.8524 0.3925  1 P 2.29
Pd 0.3925 0.8524 0.8524  1 P 2.29
Pd 0.8704 0.2919 0.2919  2 P 2.36
Pd 0.8524 0.3925 0.8524  1 P 2.29
Pd 0.2919 0.8704 0.2919  2 P 2.36
Pd 0.7081 0.7081 0.1296  2 P 2.36
Pd 0.1476 0.1476 0.6075  1 P 2.29
Pd 0.6075 0.1476 0.1476  1 P 2.29
Pd 0.1296 0.7081 0.7081  2 P 2.36
Pd 0.1476 0.6075 0.1476  1 P 2.29
Pd 0.7081 0.1296 0.7081  2 P 2.36

2.
Compound: Ac2P3PdPt4
Source: Alexandria
Functional: PBE-GGA
Structure: relaxed

Computed properties:
N(E_F): 6.42 states/eV/cell
Energy relative to the elements: -0.88 eV per atom

Unit cell a=4.3682 b=4.3682 c=10.2059 alpha=90.00 beta=90.00 gamma=90.00
Last column: nearest neighbours and their distance in Å.
Positions (direct):
Ac 0.5000 0.0000 0.2541  8 Pt 3.25-3.39, 2 Pd 3.33, 6 P 3.33-3.37
Ac 0.0000 0.5000 0.7459  8 Pt 3.25-3.39, 2 Pd 3.33, 6 P 3.33-3.37
P 0.0000 0.0000 0.5000  4 Pt 2.65
P 0.5000 0.0000 0.8769  5 Pt 2.34-2.52
P 0.0000 0.5000 0.1231  5 Pt 2.34-2.52
Pd 0.5000 0.5000 0.5000  4 Pt 2.65
Pt 0.5000 0.5000 0.0000  4 P 2.52
Pt 0.0000 0.0000 0.0000  4 P 2.52
Pt 0.5000 0.0000 0.6478  1 P 2.34
Pt 0.0000 0.5000 0.3522  1 P 2.34

Record order is preserved below.
Density: 8.77, 12.23 g/cm³